No. 1
DFT (PBE) results for crystalline Ho3Tl4HgTe8 at its relaxed geometry.

Summary:
E_tot	-0.14035	hartree per atom

a b c (Å): 8.9278 8.9278 23.8070
angles (deg): 90.00 90.00 120.00
Space group R-3m (No. 166, hexagonal axes)
Symmetry-distinct sites (fractional):
Ho 0.0000 0.5000 0.0000 (multiplicity 9)
Tl 0.0000 0.0000 0.5000 (multiplicity 3)
Tl 0.0000 0.5000 0.5000 (multiplicity 9)
Hg 0.0000 0.0000 0.0000 (multiplicity 3)
Te 0.0000 0.0000 0.2614 (multiplicity 6)
Te 0.0048 0.5024 0.2609 (multiplicity 18)

---

No. 2
DFT (PBE) results for crystalline Nb2NiMo at its relaxed geometry.

Summary:
E_form	10.36	kcal/mol of atoms

a b c (Å): 7.072 7.072 5.378
angles (deg): 90.00 90.00 90.00
Space group I-42d (No. 122)
Symmetry-distinct sites (fractional):
Nb 0.233 0.250 0.125 (multiplicity 8)
Ni 0.000 0.000 0.000 (multiplicity 4)
Mo 0.000 0.000 0.500 (multiplicity 4)

---

no.,density (g/cm³),N(E_F) (states/eV per atom),size of the total moment (μB/f.u.)
1,7.681,0.443,0.00
2,8.406,1.169,0.00